# 1
Computed, not measured: a relaxed MgCdCu2 crystal at the PBE level of DFT.

Results
**Uncorrected energy**: -2.59 eV per atom
**Formation energy**: 0.0878 eV per atom
**N(E_F)**: 4.0 states/eV/cell
**Size of the total moment**: 0.000 μB/f.u.

Structure (CIF):
```
data_MgCdCu2
_cell_length_a 2.8888
_cell_length_b 2.8888
_cell_length_c 27.0835
_cell_angle_alpha 90.00
_cell_angle_beta 90.00
_cell_angle_gamma 120.00
_space_group_name_H-M_alt 'R -3 m'
_space_group_IT_number 166
_space_group_name_Hall '-R 3 2"'
loop_
_atom_site_label
_atom_site_fract_x
_atom_site_fract_y
_atom_site_fract_z
_atom_site_occupancy
Mg1 0.0000 0.0000 0.0000 1
Cd1 0.0000 0.0000 0.5000 1
Cu1 0.0000 0.0000 0.2527 1
```


# 2
Computed, not measured: a relaxed CuReTc2 crystal at the PBE level of DFT.

Results
**Uncorrected energy**: -9.01 eV per atom
**Formation energy**: 0.3050 eV per atom
**N(E_F)**: 7.5 states/eV/cell
**Size of the total moment**: 0.000 μB/f.u.

Structure (CIF):
```
data_CuReTc2
_cell_length_a 2.9000
_cell_length_b 4.4369
_cell_length_c 9.0151
_cell_angle_alpha 90.00
_cell_angle_beta 90.00
_cell_angle_gamma 90.00
_space_group_name_H-M_alt 'C m m m'
_space_group_IT_number 65
_space_group_name_Hall '-C 2 2'
loop_
_atom_site_label
_atom_site_fract_x
_atom_site_fract_y
_atom_site_fract_z
_atom_site_occupancy
Cu1 0.0000 0.0000 0.0000 1
Re1 0.0000 0.0000 0.5000 1
Tc1 0.0000 0.5000 0.2494 1
```


# 3
Computed, not measured: a relaxed TbNdTmTl crystal at the PBE level of DFT.

Results
**Uncorrected energy**: -4.12 eV per atom
**Formation energy**: -0.0570 eV per atom
**N(E_F)**: 22.7 states/eV/cell
**Size of the total moment**: 1.143 μB/f.u.

Structure (CIF):
```
data_TbNdTmTl
_cell_length_a 7.8002
_cell_length_b 7.8002
_cell_length_c 7.8002
_cell_angle_alpha 90.00
_cell_angle_beta 90.00
_cell_angle_gamma 90.00
_space_group_name_H-M_alt 'F -4 3 m'
_space_group_IT_number 216
_space_group_name_Hall 'F -4 2 3'
loop_
_atom_site_label
_atom_site_fract_x
_atom_site_fract_y
_atom_site_fract_z
_atom_site_occupancy
Tb1 0.0000 0.0000 0.0000 1
Nd1 0.0000 0.0000 0.5000 1
Tm1 0.2500 0.2500 0.2500 1
Tl1 0.2500 0.2500 0.7500 1
```


# 4
Computed, not measured: a relaxed ScBe2 crystal at the PBE level of DFT.

Results
**Uncorrected energy**: -4.69 eV per atom
**Formation energy**: -0.0906 eV per atom
**N(E_F)**: 8.6 states/eV/cell
**Size of the total moment**: 0.000 μB/f.u.

Structure (CIF):
```
data_ScBe2
_cell_length_a 4.7870
_cell_length_b 4.7870
_cell_length_c 15.5775
_cell_angle_alpha 90.00
_cell_angle_beta 90.00
_cell_angle_gamma 120.00
_space_group_name_H-M_alt 'P 63/m m c'
_space_group_IT_number 194
_space_group_name_Hall '-P 6c 2c'
loop_
_atom_site_label
_atom_site_fract_x
_atom_site_fract_y
_atom_site_fract_z
_atom_site_occupancy
Sc1 0.0000 0.0000 0.0941 1
Sc2 0.3333 0.6667 0.1566 1
Be1 0.0000 0.5000 0.0000 1
Be2 0.1692 0.3384 0.7500 1
Be3 0.3333 0.6667 0.6278 1
```


# 5
Computed, not measured: a relaxed LiPu2MgO8 crystal at the PBE level of DFT.

Results
**Uncorrected energy**: -7.87 eV per atom
**Formation energy from raw total energies**: -1.8794 eV/atom
**N(E_F)**: 26.9 states/eV/cell
**Size of the total moment**: 2.990 μB/f.u.

Structure (CIF):
```
data_LiPu2MgO8
_cell_length_a 5.9136
_cell_length_b 5.9136
_cell_length_c 10.1488
_cell_angle_alpha 90.00
_cell_angle_beta 90.00
_cell_angle_gamma 90.00
_space_group_name_H-M_alt 'I -4 m 2'
_space_group_IT_number 119
_space_group_name_Hall 'I -4 -2'
loop_
_atom_site_label
_atom_site_fract_x
_atom_site_fract_y
_atom_site_fract_z
_atom_site_occupancy
Li1 0.0000 0.0000 0.0000 1
Pu1 0.0000 0.0000 0.5000 1
Pu2 0.0000 0.5000 0.2500 1
Mg1 0.0000 0.5000 0.7500 1
O1 0.0000 0.2271 0.6412 1
O2 0.0000 0.2792 0.1094 1
```


# 6
Computed, not measured: a relaxed CePb2Au crystal at the PBE level of DFT.

Results
**Uncorrected energy**: -4.55 eV per atom
**Formation energy**: -0.3894 eV per atom
**N(E_F)**: 5.7 states/eV/cell
**Size of the total moment**: 0.864 μB/f.u.

Structure (CIF):
```
data_CePb2Au
_cell_length_a 4.7875
_cell_length_b 4.7875
_cell_length_c 4.6024
_cell_angle_alpha 90.00
_cell_angle_beta 90.00
_cell_angle_gamma 90.00
_space_group_name_H-M_alt 'P 4/m m m'
_space_group_IT_number 123
_space_group_name_Hall '-P 4 2'
loop_
_atom_site_label
_atom_site_fract_x
_atom_site_fract_y
_atom_site_fract_z
_atom_site_occupancy
Ce1 0.0000 0.0000 0.0000 1
Pb1 0.0000 0.5000 0.5000 1
Au1 0.5000 0.5000 0.0000 1
```


# 7
Computed, not measured: a relaxed RbPb3Au crystal at the PBE level of DFT.

Results
**Uncorrected energy**: -3.25 eV per atom
**Formation energy**: -0.1726 eV per atom
**N(E_F)**: 6.4 states/eV/cell
**Size of the total moment**: 0.000 μB/f.u.

Structure (CIF):
```
data_RbPb3Au
_cell_length_a 7.2771
_cell_length_b 7.2860
_cell_length_c 12.6551
_cell_angle_alpha 90.00
_cell_angle_beta 90.00
_cell_angle_gamma 90.00
_space_group_name_H-M_alt 'F m m 2'
_space_group_IT_number 42
_space_group_name_Hall 'F 2 -2'
loop_
_atom_site_label
_atom_site_fract_x
_atom_site_fract_y
_atom_site_fract_z
_atom_site_occupancy
Rb1 0.0000 0.0000 0.0000 1
Pb1 0.0000 0.0000 0.3950 1
Pb2 0.2500 0.2500 0.2394 1
Au1 0.0000 0.0000 0.6218 1
```


# 8
Computed, not measured: a relaxed BiTe2PdN crystal at the PBE level of DFT.

Results
**Uncorrected energy**: -3.45 eV per atom
**Formation energy from raw total energies**: 1.2866 eV/atom
**N(E_F)**: 6.0 states/eV/cell
**Size of the total moment**: 1.379 μB/f.u.

Structure (CIF):
```
data_BiTe2PdN
_cell_length_a 5.9122
_cell_length_b 5.9122
_cell_length_c 4.2415
_cell_angle_alpha 90.00
_cell_angle_beta 90.00
_cell_angle_gamma 90.00
_space_group_name_H-M_alt 'P 4/m m m'
_space_group_IT_number 123
_space_group_name_Hall '-P 4 2'
loop_
_atom_site_label
_atom_site_fract_x
_atom_site_fract_y
_atom_site_fract_z
_atom_site_occupancy
Bi1 0.0000 0.0000 0.0000 1
Te1 0.0000 0.5000 0.0000 1
Pd1 0.5000 0.5000 0.5000 1
N1 0.0000 0.0000 0.5000 1
```